Record 1
VASP calculation (GGA-PBEsol) on a geometry-optimized Ta2MnWN structure.

Values from the calculation:
Space group ... P4/mmm (123)
E ... -11.84 eV/atom

abc: 3.644 4.314 4.314
angles: 90.00 90.00 90.00
Site moments in Bohr magnetons follow the coordinates.
Fractional positions:
N  0.000  0.000  0.000  0.02
Mn  0.500  0.000  0.000  1.96
W  0.500  0.500  0.500  0.10
Ta  0.000  0.000  0.500  0.02
Ta  0.000  0.500  0.000  0.02

***

Record 2
VASP calculation (GGA-PBEsol) on a geometry-optimized LiV2F9 structure.

Values from the calculation:
Space group ... Cc (9)
Energy relative to the lowest polymorph listed for this composition ... 0.018 eV/atom

abc: 4.993 4.993 14.074
angles: 90.04 90.04 60.00
Site moments in Bohr magnetons follow the coordinates.
Fractional positions:
F  0.711  0.322  0.585  0.00
F  0.968  0.322  0.086  0.00
F  0.322  0.711  0.085  0.96
F  0.322  0.968  0.586  0.96
F  0.259  0.024  0.249  0.96
F  0.968  0.711  0.585  0.96
F  0.322  0.968  0.912  0.01
F  0.711  0.968  0.085  0.01
F  0.024  0.259  0.749  0.01
F  0.968  0.322  0.412  0.01
F  0.717  0.024  0.749  -0.03
F  0.710  0.968  0.412  0.01
F  0.711  0.321  0.912  0.01
F  0.717  0.259  0.249  0.01
F  0.968  0.710  0.912  -0.03
F  0.024  0.717  0.249  0.01
F  0.321  0.711  0.412  -0.03
F  0.259  0.717  0.749  0.01
V  0.000  0.000  0.348  0.01
V  0.000  0.000  0.149  -0.03
V  0.000  0.000  0.649  0.01
V  0.000  0.000  0.848  -0.03
Li  0.667  0.667  0.499  0.01
Li  0.667  0.667  0.999  -0.03

***

Record 3
VASP calculation (GGA-PBEsol) on a geometry-optimized Zr3Sb4Pt3 structure.

Values from the calculation:
Space group ... I-43d (220)
E ... -7.49 eV/atom

abc: 8.110 8.110 8.110
angles: 109.47 109.47 109.47
Fractional positions:
Zr  0.375  0.625  0.750
Zr  0.125  0.875  0.250
Zr  0.625  0.250  0.875
Zr  0.875  0.750  0.625
Zr  0.750  0.125  0.375
Zr  0.250  0.375  0.125
Sb  0.815  0.000  0.000
Sb  0.685  0.685  0.185
Sb  0.000  0.500  0.315
Sb  0.315  0.000  0.000
Sb  0.500  0.815  0.500
Sb  0.185  0.185  0.685
Sb  0.500  0.315  0.500
Sb  0.000  0.500  0.815
Pt  0.875  0.125  0.750
Pt  0.625  0.375  0.250
Pt  0.125  0.250  0.375
Pt  0.375  0.750  0.125
Pt  0.750  0.625  0.875
Pt  0.250  0.875  0.625

***

Record 4
VASP calculation (GGA-PBEsol) on a geometry-optimized Sr2TlHg structure.

Values from the calculation:
Space group ... Fm-3m (225)
Formation enthalpy at 0 K ... -0.53 eV per atom

abc: 5.602 5.602 5.602
angles: 60.00 60.00 60.00
Fractional positions:
Sr  0.250  0.250  0.250
Sr  0.750  0.750  0.750
Tl  0.000  0.000  0.000
Hg  0.500  0.500  0.500

***

Record 5
VASP calculation (GGA-PBEsol) on a geometry-optimized KBa2Pb structure.

Values from the calculation:
Space group ... Pm (6)
Formation enthalpy at 0 K ... -0.11 eV per atom

abc: 4.289 5.737 7.840
angles: 90.00 105.67 90.00
Site moments in Bohr magnetons follow the coordinates.
Fractional positions:
Ba  0.905  0.000  0.933  0.04
Ba  0.569  0.500  0.268  0.10
K  0.188  0.000  0.509  0.01
Pb  0.338  0.500  0.791  0.01

***

Record 6
VASP calculation (GGA-PBEsol) on a geometry-optimized Si2PHRh structure.

Values from the calculation:
Space group ... P4/mmm (123)
E ... -5.43 eV/atom

abc: 3.358 4.243 4.243
angles: 90.00 90.00 90.00
Fractional positions:
P  0.500  0.500  0.500
Si  0.000  0.000  0.500
Si  0.000  0.500  0.000
Rh  0.500  0.000  0.000
H  0.000  0.000  0.000

***

Record 7
VASP calculation (GGA-PBEsol) on a geometry-optimized NaLi3In structure.

Values from the calculation:
Space group ... Pm-3m (221)
Formation enthalpy at 0 K ... 0.08 eV per atom

abc: 5.241 5.241 5.241
angles: 90.00 90.00 90.00
Fractional positions:
Na  0.500  0.500  0.500
Li  0.000  0.500  0.000
Li  0.000  0.000  0.500
Li  0.500  0.000  0.000
In  0.000  0.000  0.000

***

Record 8
VASP calculation (GGA-PBEsol) on a geometry-optimized CoIr2W structure.

Values from the calculation:
Space group ... P4/mmm (123)
Formation enthalpy at 0 K ... -0.20 eV per atom
Energy relative to the lowest polymorph listed for this composition ... 0.015 eV/atom

abc: 3.733 3.793 3.793
angles: 90.00 90.00 90.00
Fractional positions:
Ir  0.000  0.000  0.500
Ir  0.000  0.500  0.000
Co  0.500  0.000  0.000
W  0.500  0.500  0.500